(1)
# CdAgBr2 GGA-PBE optimized geometry
# Energy relative to the lowest polymorph listed for this composition (meV/atom): 59
data_CdAgBr2
_chemical_formula_sum 'Cd2 Ag2 Br4'
_cell_length_a 7.330
_cell_length_b 4.247
_cell_length_c 7.367
_cell_angle_alpha 90.00
_cell_angle_beta 109.11
_cell_angle_gamma 90.00
_space_group_name_H-M_alt 'C 1 2/m 1'
_space_group_IT_number 12
loop_
_space_group_symop_operation_xyz
'x,y,z'
'-x,-y,-z'
'-x,y,-z'
'x,-y,z'
'x+1/2,y+1/2,z'
'-x+1/2,-y+1/2,-z'
'-x+1/2,y+1/2,-z'
'x+1/2,-y+1/2,z'
loop_
_atom_site_label
_atom_site_type_symbol
_atom_site_fract_x
_atom_site_fract_y
_atom_site_fract_z
Cd1 Cd 0.000 0.000 0.000
Ag1 Ag 0.000 0.500 0.500
Br1 Br 0.244 0.000 0.729


(2)
# CdAgBr2 GGA-PBE optimized geometry
# Energy relative to the lowest polymorph listed for this composition (meV/atom): 125
data_CdAgBr2
_chemical_formula_sum 'Cd3 Ag3 Br6'
_cell_length_a 3.8493
_cell_length_b 3.8493
_cell_length_c 29.9844
_cell_angle_alpha 90.00
_cell_angle_beta 90.00
_cell_angle_gamma 120.00
_space_group_name_H-M_alt 'R -3 m'
_space_group_IT_number 166
_space_group_name_Hall '-R 3 2"'
loop_
_atom_site_label
_atom_site_type_symbol
_atom_site_fract_x
_atom_site_fract_y
_atom_site_fract_z
Cd1 Cd 0.0000 0.0000 0.0000
Ag1 Ag 0.0000 0.0000 0.5000
Br1 Br 0.0000 0.0000 0.3898


(3)
# CdAgBr2 GGA-PBE optimized geometry
# Energy relative to the lowest polymorph listed for this composition (meV/atom): 107
data_CdAgBr2
_chemical_formula_sum 'Cd2 Ag2 Br4'
_cell_length_a 9.019
_cell_length_b 7.046
_cell_length_c 4.100
_cell_angle_alpha 90.00
_cell_angle_beta 116.96
_cell_angle_gamma 90.00
_space_group_name_H-M_alt 'C 1 2/m 1'
_space_group_IT_number 12
loop_
_space_group_symop_operation_xyz
'x,y,z'
'-x,-y,-z'
'-x,y,-z'
'x,-y,z'
'x+1/2,y+1/2,z'
'-x+1/2,-y+1/2,-z'
'-x+1/2,y+1/2,-z'
'x+1/2,-y+1/2,z'
loop_
_atom_site_label
_atom_site_type_symbol
_atom_site_fract_x
_atom_site_fract_y
_atom_site_fract_z
Cd1 Cd 0.000 0.000 0.000
Ag1 Ag 0.000 0.500 0.500
Br1 Br 0.233 0.500 0.233


(4)
# CdAgBr2 GGA-PBE optimized geometry
# Energy relative to the lowest polymorph listed for this composition (meV/atom): 114
data_CdAgBr2
_chemical_formula_sum 'Cd1 Ag1 Br2'
_cell_length_a 4.007
_cell_length_b 4.130
_cell_length_c 7.091
_cell_angle_alpha 90.00
_cell_angle_beta 90.00
_cell_angle_gamma 90.00
_space_group_name_H-M_alt 'P m m m'
_space_group_IT_number 47
loop_
_space_group_symop_operation_xyz
'x,y,z'
'-x,-y,-z'
'-x,-y,z'
'x,y,-z'
'x,-y,-z'
'-x,y,z'
'-x,y,-z'
'x,-y,z'
loop_
_atom_site_label
_atom_site_type_symbol
_atom_site_fract_x
_atom_site_fract_y
_atom_site_fract_z
Cd1 Cd 0.000 0.000 0.000
Ag1 Ag 0.000 0.500 0.500
Br1 Br 0.500 0.000 0.500
Br2 Br 0.500 0.500 0.000


(5)
# CdAgBr2 GGA-PBE optimized geometry
# Energy relative to the lowest polymorph listed for this composition (meV/atom): 0
data_CdAgBr2
_chemical_formula_sum 'Cd1 Ag1 Br2'
_cell_length_a 5.612
_cell_length_b 3.788
_cell_length_c 5.620
_cell_angle_alpha 90.00
_cell_angle_beta 115.85
_cell_angle_gamma 90.00
_space_group_name_H-M_alt 'P 1 m 1'
_space_group_IT_number 6
loop_
_space_group_symop_operation_xyz
'x,y,z'
'x,-y,z'
loop_
_atom_site_label
_atom_site_type_symbol
_atom_site_fract_x
_atom_site_fract_y
_atom_site_fract_z
Cd1 Cd 0.000 0.000 0.000
Ag1 Ag 0.228 0.500 0.768
Br1 Br 0.440 0.000 0.557
Br2 Br 0.783 0.500 0.214


(6)
Here is an optimized crystal structure of Cd2AgBr6 from Alexandria. Energies are from GGA-PBE.

Geometry as CIF:
```
data_Cd2AgBr6
_chemical_formula_sum 'Cd8 Ag4 Br24'
_cell_length_a 13.730
_cell_length_b 12.491
_cell_length_c 7.140
_cell_angle_alpha 90.00
_cell_angle_beta 102.79
_cell_angle_gamma 90.00
_space_group_name_H-M_alt 'C 1 2/c 1'
_space_group_IT_number 15
loop_
_space_group_symop_operation_xyz
'x,y,z'
'-x,-y,-z'
'-x,y,-z+1/2'
'x,-y,z+1/2'
'x+1/2,y+1/2,z'
'-x+1/2,-y+1/2,-z'
'-x+1/2,y+1/2,-z+1/2'
'x+1/2,-y+1/2,z+1/2'
loop_
_atom_site_label
_atom_site_type_symbol
_atom_site_fract_x
_atom_site_fract_y
_atom_site_fract_z
Cd1 Cd 0.219 0.094 0.028
Ag1 Ag 0.000 0.325 0.750
Br1 Br 0.120 0.288 0.084
Br2 Br 0.126 0.071 0.660
Br3 Br 0.156 0.385 0.617
```


(7)
# CdAgBr2 GGA-PBE optimized geometry
# Energy relative to the lowest polymorph listed for this composition (meV/atom): 212
data_CdAgBr2
_chemical_formula_sum 'Cd4 Ag4 Br8'
_cell_length_a 7.352
_cell_length_b 7.352
_cell_length_c 7.352
_cell_angle_alpha 90.00
_cell_angle_beta 90.00
_cell_angle_gamma 90.00
_space_group_name_H-M_alt 'F m -3 m'
_space_group_IT_number 225
_space_group_name_Hall '-F 4 2 3'
loop_
_atom_site_label
_atom_site_type_symbol
_atom_site_fract_x
_atom_site_fract_y
_atom_site_fract_z
Cd1 Cd 0.000 0.000 0.000
Ag1 Ag 0.000 0.000 0.500
Br1 Br 0.250 0.250 0.250


(8)
# CdAgBr2 GGA-PBE optimized geometry
# Energy relative to the lowest polymorph listed for this composition (meV/atom): 436
data_CdAgBr2
_chemical_formula_sum 'Cd4 Ag4 Br8'
_cell_length_a 7.383
_cell_length_b 7.383
_cell_length_c 7.383
_cell_angle_alpha 90.00
_cell_angle_beta 90.00
_cell_angle_gamma 90.00
_space_group_name_H-M_alt 'F -4 3 m'
_space_group_IT_number 216
_space_group_name_Hall 'F -4 2 3'
loop_
_atom_site_label
_atom_site_type_symbol
_atom_site_fract_x
_atom_site_fract_y
_atom_site_fract_z
Cd1 Cd 0.000 0.000 0.000
Ag1 Ag 0.250 0.250 0.750
Br1 Br 0.000 0.000 0.500
Br2 Br 0.250 0.250 0.250


(9)
# CdAgBr2 GGA-PBE optimized geometry
# Energy relative to the lowest polymorph listed for this composition (meV/atom): 107
data_CdAgBr2
_chemical_formula_sum 'Cd2 Ag2 Br4'
_cell_length_a 4.080
_cell_length_b 7.072
_cell_length_c 8.060
_cell_angle_alpha 90.00
_cell_angle_beta 90.00
_cell_angle_gamma 90.00
_space_group_name_H-M_alt 'C m m m'
_space_group_IT_number 65
_space_group_name_Hall '-C 2 2'
loop_
_atom_site_label
_atom_site_type_symbol
_atom_site_fract_x
_atom_site_fract_y
_atom_site_fract_z
Cd1 Cd 0.000 0.000 0.000
Ag1 Ag 0.000 0.000 0.500
Br1 Br 0.000 0.500 0.267


(10)
Here is an optimized crystal structure of Cd4AgBr2 from Alexandria. Energies are from GGA-PBE.

Geometry as CIF:
```
data_Cd4AgBr2
_chemical_formula_sum 'Cd8 Ag2 Br4'
_cell_length_a 5.350
_cell_length_b 5.350
_cell_length_c 16.370
_cell_angle_alpha 90.00
_cell_angle_beta 90.00
_cell_angle_gamma 90.00
_space_group_name_H-M_alt 'I 4/m m m'
_space_group_IT_number 139
_space_group_name_Hall '-I 4 2'
loop_
_atom_site_label
_atom_site_type_symbol
_atom_site_fract_x
_atom_site_fract_y
_atom_site_fract_z
Cd1 Cd 0.000 0.000 0.162
Cd2 Cd 0.000 0.500 0.000
Ag1 Ag 0.000 0.000 0.000
Br1 Br 0.000 0.000 0.320
```


(11)
# CdAg3Br6 GGA-PBE optimized geometry
# Energy relative to the lowest polymorph listed for this composition (meV/atom): 0
data_CdAg3Br6
_chemical_formula_sum 'Cd3 Ag9 Br18'
_cell_length_a 7.0726
_cell_length_b 7.0726
_cell_length_c 19.6678
_cell_angle_alpha 90.00
_cell_angle_beta 90.00
_cell_angle_gamma 120.00
_space_group_name_H-M_alt 'R 3'
_space_group_IT_number 146
_space_group_name_Hall 'R 3'
loop_
_atom_site_label
_atom_site_type_symbol
_atom_site_fract_x
_atom_site_fract_y
_atom_site_fract_z
Cd1 Cd 0.0000 0.0000 0.0000
Ag1 Ag 0.0000 0.0000 0.1839
Ag2 Ag 0.0000 0.0000 0.3602
Ag3 Ag 0.0000 0.0000 0.6816
Br1 Br 0.0125 0.3350 0.2656
Br2 Br 0.0271 0.6793 0.7595


(12)
Here is an optimized crystal structure of CdAg4Br6 from Alexandria. Energies are from GGA-PBE.

Geometry as CIF:
```
data_CdAg4Br6
_chemical_formula_sum 'Cd4 Ag16 Br24'
_cell_length_a 13.547
_cell_length_b 8.078
_cell_length_c 13.502
_cell_angle_alpha 90.00
_cell_angle_beta 106.72
_cell_angle_gamma 90.00
_space_group_name_H-M_alt 'C 1 c 1'
_space_group_IT_number 9
loop_
_space_group_symop_operation_xyz
'x,y,z'
'x,-y,z+1/2'
'x+1/2,y+1/2,z'
'x+1/2,-y+1/2,z+1/2'
loop_
_atom_site_label
_atom_site_type_symbol
_atom_site_fract_x
_atom_site_fract_y
_atom_site_fract_z
Cd1 Cd 0.000 0.240 0.000
Ag1 Ag 0.086 0.069 0.754
Ag2 Ag 0.236 0.100 0.565
Ag3 Ag 0.236 0.398 0.263
Ag4 Ag 0.433 0.225 0.906
Br1 Br 0.125 0.217 0.372
Br2 Br 0.200 0.240 0.073
Br3 Br 0.252 0.264 0.750
Br4 Br 0.431 0.008 0.064
Br5 Br 0.431 0.247 0.300
Br6 Br 0.439 0.464 0.062
```


(13)
# CdAgBr2 GGA-PBE optimized geometry
# Energy relative to the lowest polymorph listed for this composition (meV/atom): 88
data_CdAgBr2
_chemical_formula_sum 'Cd2 Ag2 Br4'
_cell_length_a 3.635
_cell_length_b 3.932
_cell_length_c 16.564
_cell_angle_alpha 90.00
_cell_angle_beta 90.00
_cell_angle_gamma 90.00
_space_group_name_H-M_alt 'I m m 2'
_space_group_IT_number 44
loop_
_space_group_symop_operation_xyz
'x,y,z'
'-x,-y,z'
'-x,y,z'
'x,-y,z'
'x+1/2,y+1/2,z+1/2'
'-x+1/2,-y+1/2,z+1/2'
'-x+1/2,y+1/2,z+1/2'
'x+1/2,-y+1/2,z+1/2'
loop_
_atom_site_label
_atom_site_type_symbol
_atom_site_fract_x
_atom_site_fract_y
_atom_site_fract_z
Cd1 Cd 0.000 0.000 0.000
Ag1 Ag 0.000 0.500 0.634
Br1 Br 0.000 0.000 0.420
Br2 Br 0.000 0.500 0.197


no.,VASP energy (eV per cell),N(E_F) (states/eV/f.u.)
1,-16.484,2.17
2,-23.934,0.65
3,-16.098,1.56
4,-8.022,1.08
5,-8.477,1.19
6,-79.768,3.70
7,-30.509,1.97
8,-26.925,3.26
9,-16.100,1.61
10,-22.384,2.84
11,-71.588,9.95
12,-108.684,0.00
13,-16.253,1.89